1.
## Ac12NiAu6 (GGA-PBE)

Data for a geometry-optimized Ac12NiAu6 structure.

Results
SG: R-3
ΔH_f (0 K) in eV/atom: -0.44
Magnetization in μB per formula unit: 0.000
Total energy in eV per atom: -4.374

Unit cell a=9.0851 b=9.0851 c=9.0851 alpha=98.64 beta=98.64 gamma=98.64
Atoms (fractional coordinates):
Ac (0.8147, 0.5826, 0.4256)
Ac (0.4256, 0.8147, 0.5826)
Ac (0.5826, 0.4256, 0.8147)
Ac (0.1853, 0.4174, 0.5744)
Ac (0.5744, 0.1853, 0.4174)
Ac (0.4174, 0.5744, 0.1853)
Ac (0.0766, 0.9634, 0.3143)
Ac (0.0366, 0.6857, 0.9234)
Ac (0.6857, 0.9234, 0.0366)
Ac (0.9234, 0.0366, 0.6857)
Ac (0.9634, 0.3143, 0.0766)
Ac (0.3143, 0.0766, 0.9634)
Ni (0.0000, 0.0000, 0.0000)
Au (0.6909, 0.8721, 0.3736)
Au (0.6264, 0.3091, 0.1279)
Au (0.1279, 0.6264, 0.3091)
Au (0.3091, 0.1279, 0.6264)
Au (0.3736, 0.6909, 0.8721)
Au (0.8721, 0.3736, 0.6909)

=====

2.
## Ac2NiAu3 (GGA-PBE)

Data for a geometry-optimized Ac2NiAu3 structure.

Results
SG: Fmmm
ΔH_f (0 K) in eV/atom: -0.68
Magnetization in μB per formula unit: 0.000
Total energy in eV per atom: -4.653

Unit cell a=6.1904 b=6.1904 c=9.0769 alpha=107.18 beta=107.18 gamma=97.68
Atoms (fractional coordinates):
Ac (0.2500, 0.7500, 0.5000)
Ac (0.7509, 0.7509, 0.0000)
Ac (0.7500, 0.2500, 0.5000)
Ac (0.2491, 0.2491, 0.0000)
Ni (0.6676, 0.6676, 0.3353)
Ni (0.3324, 0.3324, 0.6647)
Au (0.3501, 0.8235, 0.1736)
Au (0.1765, 0.6499, 0.8264)
Au (0.6499, 0.1765, 0.8264)
Au (0.8235, 0.3501, 0.1736)
Au (0.1736, 0.1736, 0.3472)
Au (0.8264, 0.8264, 0.6528)

=====

3.
## Ac4NiAu2 (GGA-PBE)

Data for a geometry-optimized Ac4NiAu2 structure.

Results
SG: C2/m
ΔH_f (0 K) in eV/atom: -0.53
Magnetization in μB per formula unit: 0.000
Total energy in eV per atom: -4.641

Unit cell a=4.2282 b=7.5539 c=8.0380 alpha=73.22 beta=74.75 gamma=73.75
Atoms (fractional coordinates):
Ac (0.0795, 0.2223, 0.6187)
Ac (0.9205, 0.7777, 0.3813)
Ac (0.3354, 0.2484, 0.0807)
Ac (0.6646, 0.7516, 0.9193)
Ni (0.0000, 0.0000, 0.0000)
Au (0.3791, 0.5526, 0.6891)
Au (0.6209, 0.4474, 0.3109)

=====

4.
## Ac6Ni3Au2 (GGA-PBE)

Data for a geometry-optimized Ac6Ni3Au2 structure.

Results
SG: C2/m
ΔH_f (0 K) in eV/atom: -0.41
Magnetization in μB per formula unit: 0.000
Total energy in eV per atom: -4.822

Unit cell a=7.5257 b=7.5268 c=7.7528 alpha=80.68 beta=71.10 gamma=60.00
Atoms (fractional coordinates):
Ac (0.4080, 0.6648, 0.7760)
Ac (0.7426, 0.0000, 0.7781)
Ac (0.0728, 0.3352, 0.7760)
Ac (0.2574, 0.0000, 0.2219)
Ac (0.5920, 0.3352, 0.2240)
Ac (0.9272, 0.6648, 0.2240)
Ni (0.0000, 0.0000, 0.0000)
Ni (0.3326, 0.3348, 0.0000)
Ni (0.6674, 0.6652, 0.0000)
Au (0.1663, 0.6674, 0.5000)
Au (0.8337, 0.3326, 0.5000)

=====

5.
## Ac8Ni5Au (GGA-PBE)

Data for a geometry-optimized Ac8Ni5Au structure.

Results
SG: I-4
ΔH_f (0 K) in eV/atom: -0.26
Magnetization in μB per formula unit: 0.000
Total energy in eV per atom: -4.905

Unit cell a=8.1157 b=8.1157 c=8.1157 alpha=108.49 beta=111.44 gamma=108.49
Atoms (fractional coordinates):
Ac (0.1143, 0.7560, 0.9871)
Ac (0.0129, 0.1272, 0.7688)
Ac (0.7240, 0.2463, 0.3751)
Ac (0.6249, 0.3488, 0.8712)
Ac (0.5224, 0.6512, 0.2760)
Ac (0.6416, 0.8728, 0.8857)
Ac (0.2312, 0.2440, 0.3584)
Ac (0.1288, 0.7537, 0.4776)
Ni (0.0250, 0.3991, 0.1228)
Ni (0.8772, 0.9022, 0.2763)
Ni (0.7237, 0.6009, 0.6259)
Ni (0.5000, 0.0000, 0.5000)
Ni (0.3741, 0.0978, 0.9750)
Au (0.2500, 0.5000, 0.7500)

=====

6.
## AcNiAu (GGA-PBE)

Data for a geometry-optimized AcNiAu structure.

Results
SG: I-4m2
ΔH_f (0 K) in eV/atom: -0.55
Magnetization in μB per formula unit: 0.000
Total energy in eV per atom: -4.935

Unit cell a=4.2606 b=4.2606 c=8.5820 alpha=104.37 beta=104.37 gamma=90.00
Atoms (fractional coordinates):
Ac (0.2500, 0.7500, 0.5000)
Ac (0.5000, 0.5000, 0.0000)
Ni (0.9284, 0.9284, 0.8567)
Ni (0.0716, 0.0716, 0.1433)
Au (0.8389, 0.3389, 0.6779)
Au (0.6611, 0.1611, 0.3221)